Record 1
## DyAsNO (GGA-PBE)

Data for a relaxed structure of DyAsNO.

Structure (POSCAR):
```
DyAsNO
1.0
-0.671 2.219 3.522
-2.639 -2.986 1.378
5.297 -3.265 3.066
N As O Dy
2 2 2 2
Cartesian
0.271 -2.272 5.269
1.717 -1.760 2.698
1.486 -0.715 4.519
0.502 -3.318 3.447
-2.147 -1.685 1.914
-1.163 0.917 2.986
-0.093 -0.645 1.650
2.080 -3.388 6.316
```

The value obtained for the raw total energy is -54.95 eV for the cell shown. The size of the total moment comes out at 0.00 μB per atom.

Record 2
## NaAg3IrSe4 (GGA-PBE)

Data for a relaxed structure of NaAg3IrSe4.

Structure (POSCAR):
```
NaAg3IrSe4
1.0
-0.626 -2.535 -5.752
-5.302 -2.892 1.852
-3.376 5.012 -1.841
Ag Se Na Ir
3 4 1 1
Cartesian
-4.339 1.060 0.005
-2.964 -2.714 -1.950
-2.001 1.238 -3.797
-2.565 -0.115 -1.583
-4.361 0.996 -4.989
-6.459 0.836 -1.578
-5.225 -2.549 -3.333
0.000 0.000 0.000
-4.652 -0.208 -2.871
```

The value obtained for the raw total energy is -33.11 eV for the cell shown. The size of the total moment comes out at 0.06 μB per atom.

Record 3
## ZrBeTlCu (GGA-PBE)

Data for a relaxed structure of ZrBeTlCu.

Structure (POSCAR):
```
ZrBeTlCu
1.0
0.000 3.204 3.204
3.204 0.000 3.204
3.204 3.204 0.000
Cu Tl Zr Be
1 1 1 1
Cartesian
4.806 4.806 4.806
0.000 0.000 0.000
3.204 3.204 3.204
1.602 1.602 1.602
```

The value obtained for the raw total energy is -17.61 eV for the cell shown. The size of the total moment comes out at 0.00 μB per atom.

Record 4
## TmGaAg (GGA-PBE)

Data for a relaxed structure of TmGaAg.

Structure (POSCAR):
```
TmGaAg
1.0
0.000 3.358 3.358
3.358 0.000 3.358
3.358 3.358 0.000
Ag Ga Tm
1 1 1
Cartesian
1.679 1.679 1.679
5.038 5.038 5.038
0.000 0.000 0.000
```

The value obtained for the raw total energy is -10.03 eV for the cell shown. The size of the total moment comes out at 0.00 μB per atom.

Record 5
## PmCdNO (GGA-PBE)

Data for a relaxed structure of PmCdNO.

Structure (POSCAR):
```
PmCdNO
1.0
5.023 0.000 0.000
0.000 5.023 0.000
0.000 0.000 4.712
Pm Cd N O
2 2 2 2
Cartesian
1.256 3.768 2.356
3.768 1.256 2.356
3.768 3.768 0.000
1.256 1.256 0.000
1.256 1.256 2.355
3.768 3.768 2.357
3.768 1.256 0.000
1.256 3.768 0.000
```

The value obtained for the raw total energy is -48.38 eV for the cell shown. The size of the total moment comes out at 0.00 μB per atom.

Record 6
## PrGaCu (GGA-PBE)

Data for a relaxed structure of PrGaCu.

Structure (POSCAR):
```
PrGaCu
1.0
2.395 1.382 3.910
-2.395 1.382 3.910
0.000 -2.765 3.910
Pr Ga Cu
1 1 1
Cartesian
0.000 0.000 8.798
0.000 0.000 5.865
0.000 0.000 0.000
```

The value obtained for the raw total energy is -10.90 eV for the cell shown. The size of the total moment comes out at 0.00 μB per atom.